[1]
A plane-wave DFT calculation with meta-GGA SCAN was carried out for a crystal of ZnTeAu relaxed with PBEsol.

The total DFT energy (no corrections) comes out at -40.03 eV per atom. As for the density of states at the Fermi level: 1.400 states/eV/cell. The uncorrected formation energy comes out at -0.060 eV per atom.

The structure belongs to space group P3m1 (No. 156); the cell edges are 4.1147, 4.1147 and 4.2801 Å and the angles 90.00°, 90.00° and 120.00°. The distinct sites, in fractional coordinates, are Zn at (0.0000, 0.0000, 0.0000), Te at (0.6667, 0.3333, 0.3596) and Au at (0.3333, 0.6667, 0.7337).



[2]
A plane-wave DFT calculation with meta-GGA SCAN was carried out for a crystal of ZrTe2Au relaxed with PBEsol.

The total DFT energy (no corrections) comes out at -44.33 eV per atom. As for the density of states at the Fermi level: 1.890 states/eV/cell. The uncorrected formation energy comes out at -0.739 eV per atom.

The structure belongs to space group Amm2 (No. 38); the cell edges are 4.075, 3.932 and 11.727 Å and the angles 90.00°, 90.00° and 90.00°. The distinct sites, in fractional coordinates, are Zr at (0.000, 0.000, 0.000), Te at (0.000, 0.000, 0.309), Te at (0.500, 0.000, 0.587) and Au at (0.500, 0.000, 0.827).